Material: Sc2MoWC3
Method: DFT, PBE
State: relaxed

Lattice parameters (Å, degrees): 10.960 3.195 5.466 90.00 107.57 90.00
Space group Cm (No. 8)
One atom of each set of equivalent atoms:
Sc 0.000 0.000 0.000 (multiplicity 2)
Sc 0.233 0.000 0.689 (multiplicity 2)
Mo 0.469 0.000 0.512 (multiplicity 2)
W 0.265 0.500 0.183 (multiplicity 2)
C 0.117 0.500 0.848 (multiplicity 2)
C 0.363 0.500 0.590 (multiplicity 2)
C 0.368 0.000 0.101 (multiplicity 2)

Calculated values
Volume, Å³/cell: 182
Uncorrected energy, eV/atom: -9.593
Size of the total moment, μB per atom: 0.000